1.
# PBE ZrBeGaCo, relaxed
# Volume, Å³/cell: 54.2
# Excess energy over the best structure of this formula in the dataset, meV/atom: 0
# DFT total energy, eV/atom: -5.9314
data_ZrBeGaCo
_cell_length_a 4.248
_cell_length_b 4.248
_cell_length_c 4.248
_cell_angle_alpha 60.00
_cell_angle_beta 60.00
_cell_angle_gamma 60.00
_space_group_name_H-M_alt 'P 1'
_space_group_IT_number 1
loop_
_space_group_symop_operation_xyz
'x,y,z'
loop_
_atom_site_label
_atom_site_type_symbol
_atom_site_fract_x
_atom_site_fract_y
_atom_site_fract_z
_atom_site_occupancy
Ga1 Ga 0.500 0.500 0.500 1
Co1 Co 0.250 0.250 0.250 1
Zr1 Zr 0.000 0.000 0.000 1
Be1 Be 0.750 0.750 0.750 1

2.
# PBE BeCo2Ge, relaxed
# Volume, Å³/cell: 43.5
# Excess energy over the best structure of this formula in the dataset, meV/atom: 342
# DFT total energy, eV/atom: -5.6105
data_BeCo2Ge
_cell_length_a 3.946
_cell_length_b 3.946
_cell_length_c 3.946
_cell_angle_alpha 60.00
_cell_angle_beta 60.00
_cell_angle_gamma 60.00
_space_group_name_H-M_alt 'P 1'
_space_group_IT_number 1
loop_
_space_group_symop_operation_xyz
'x,y,z'
loop_
_atom_site_label
_atom_site_type_symbol
_atom_site_fract_x
_atom_site_fract_y
_atom_site_fract_z
_atom_site_occupancy
Co1 Co 0.000 0.000 0.000 1
Co2 Co 0.750 0.750 0.750 1
Ge1 Ge 0.500 0.500 0.500 1
Be1 Be 0.250 0.250 0.250 1

Please write out number 1 again, unchanged.
# PBE ZrBeGaCo, relaxed
# Volume, Å³/cell: 54.2
# Excess energy over the best structure of this formula in the dataset, meV/atom: 0
# DFT total energy, eV/atom: -5.9314
data_ZrBeGaCo
_cell_length_a 4.248
_cell_length_b 4.248
_cell_length_c 4.248
_cell_angle_alpha 60.00
_cell_angle_beta 60.00
_cell_angle_gamma 60.00
_space_group_name_H-M_alt 'P 1'
_space_group_IT_number 1
loop_
_space_group_symop_operation_xyz
'x,y,z'
loop_
_atom_site_label
_atom_site_type_symbol
_atom_site_fract_x
_atom_site_fract_y
_atom_site_fract_z
_atom_site_occupancy
Ga1 Ga 0.500 0.500 0.500 1
Co1 Co 0.250 0.250 0.250 1
Zr1 Zr 0.000 0.000 0.000 1
Be1 Be 0.750 0.750 0.750 1

- What is the volume in the first record?
  54.2 Å³/cell

Copy entry 2 word for word.
# PBE BeCo2Ge, relaxed
# Volume, Å³/cell: 43.5
# Excess energy over the best structure of this formula in the dataset, meV/atom: 342
# DFT total energy, eV/atom: -5.6105
data_BeCo2Ge
_cell_length_a 3.946
_cell_length_b 3.946
_cell_length_c 3.946
_cell_angle_alpha 60.00
_cell_angle_beta 60.00
_cell_angle_gamma 60.00
_space_group_name_H-M_alt 'P 1'
_space_group_IT_number 1
loop_
_space_group_symop_operation_xyz
'x,y,z'
loop_
_atom_site_label
_atom_site_type_symbol
_atom_site_fract_x
_atom_site_fract_y
_atom_site_fract_z
_atom_site_occupancy
Co1 Co 0.000 0.000 0.000 1
Co2 Co 0.750 0.750 0.750 1
Ge1 Ge 0.500 0.500 0.500 1
Be1 Be 0.250 0.250 0.250 1